Tm6AlPb | PBE | optimized geometry

It has space group P4/mmm (No. 123), with a = 4.742 Å, b = 4.742 Å, c = 9.484 Å, α = 90.00°, β = 90.00° and γ = 90.00°. Symmetry generates all atoms from Tm at (0.000, 0.000, 0.000), Tm at (0.000, 0.000, 0.500), Tm at (0.000, 0.500, 0.241), Al at (0.500, 0.500, 0.000) and Pb at (0.500, 0.500, 0.500).

Its total energy is -4.51 eV/atom. The formation energy comes out at -225 meV/atom. The calculation puts the calculated volume at 26.66 A^3/atom.